[1]
First-principles (PBE) data for an optimized crystal structure of K4Ac3NpO8, as listed in Alexandria via LeMat-Bulk.

Results
Its magnetic moment is 3.976 μB/f.u. Its space-group type is No. 166. The value obtained for the raw formation energy is -2.447 eV per atom. For the total energy, the calculation gives -108.472 eV/cell.

Cell: 7.731 7.731 7.731 Å, 58.81 58.81 58.81°
Positions (direct):
K  0.000  0.000  0.000
K  0.000  0.500  0.500
K  0.500  0.000  0.500
K  0.500  0.500  0.000
Ac  0.000  0.000  0.500
Ac  0.000  0.500  0.000
Ac  0.500  0.000  0.000
Np  0.500  0.500  0.500
O  0.232  0.232  0.232
O  0.250  0.721  0.721
O  0.279  0.279  0.750
O  0.279  0.750  0.279
O  0.721  0.250  0.721
O  0.721  0.721  0.250
O  0.750  0.279  0.279
O  0.768  0.768  0.768

[2]
First-principles (PBE) data for an optimized crystal structure of KAc2NpO6, as listed in Alexandria via LeMat-Bulk.

Results
Its magnetic moment is 2.000 μB/f.u. Its space-group type is No. 14. The value obtained for the raw formation energy is -2.994 eV per atom. For the total energy, the calculation gives -163.896 eV/cell.

Cell: 6.122 6.382 11.501 Å, 90.00 122.07 90.00°
Positions (direct):
K  0.000  0.000  0.000
K  0.000  0.500  0.500
Ac  0.216  0.002  0.717
Ac  0.216  0.498  0.217
Ac  0.784  0.502  0.783
Ac  0.784  0.998  0.283
Np  0.500  0.000  0.500
Np  0.500  0.500  0.000
O  0.186  0.703  0.844
O  0.186  0.797  0.344
O  0.200  0.154  0.499
O  0.200  0.346  0.999
O  0.495  0.195  0.340
O  0.495  0.305  0.840
O  0.505  0.695  0.160
O  0.505  0.805  0.660
O  0.800  0.654  0.001
O  0.800  0.846  0.501
O  0.814  0.203  0.656
O  0.814  0.297  0.156

[3]
First-principles (PBE) data for an optimized crystal structure of K2AcNpO4, as listed in Alexandria via LeMat-Bulk.

Results
Its magnetic moment is 3.987 μB/f.u. Its space-group type is No. 10. The value obtained for the raw formation energy is -2.350 eV per atom. For the total energy, the calculation gives -57.878 eV/cell.

Cell: 6.464 3.707 6.723 Å, 90.00 108.98 90.00°
Positions (direct):
K  0.000  0.000  0.000
K  0.500  0.500  0.000
Ac  0.000  0.500  0.500
Np  0.500  0.000  0.500
O  0.252  0.000  0.693
O  0.289  0.500  0.313
O  0.711  0.500  0.687
O  0.748  0.000  0.307